Ba3LiTl after structural relaxation. Source: Alexandria, functional PBE.

The space group is Pm-3m (No. 221) and the conventional cell measures 6.768, 6.768 and 6.768 Å, with angles of 90.00, 90.00 and 90.00 degrees. The distinct sites, in fractional coordinates, are Ba at (0.000, 0.000, 0.500), Li at (0.500, 0.500, 0.500) and Tl at (0.000, 0.000, 0.000).

For the formation energy, the calculation gives 53 meV/atom. The distance to the lowest polymorph of the same formula is 226 meV per atom. The density of states at the Fermi level is 1.7289 states/eV/atom.

=====

ZrMn2V after structural relaxation. Source: Alexandria, functional PBE.

The space group is P4/mmm (No. 123) and the conventional cell measures 3.022, 3.022 and 6.184 Å, with angles of 90.00, 90.00 and 90.00 degrees. The distinct sites, in fractional coordinates, are Zr at (0.000, 0.000, 0.000), Mn at (0.500, 0.500, 0.278) and V at (0.000, 0.000, 0.500).

For the formation energy, the calculation gives -74 meV/atom. The distance to the lowest polymorph of the same formula is 0 meV per atom. The density of states at the Fermi level is 0.6037 states/eV/atom.

=====

PaCuPt2 after structural relaxation. Source: Alexandria, functional PBE.

The space group is R-3m (No. 166, hexagonal axes) and the conventional cell measures 4.3384, 4.3384 and 13.6631 Å, with angles of 90.00, 90.00 and 120.00 degrees. The distinct sites, in fractional coordinates, are Pa at (0.0000, 0.0000, 0.0000), Cu at (0.0000, 0.0000, 0.5000) and Pt at (0.0000, 0.0000, 0.2235).

For the formation energy, the calculation gives -749 meV/atom. The distance to the lowest polymorph of the same formula is 0 meV per atom. The density of states at the Fermi level is 0.6877 states/eV/atom.

=====

Tb2PmSm6Mg after structural relaxation. Source: Alexandria, functional PBE.

The space group is C2/c (No. 15) and the conventional cell measures 9.316, 15.409 and 9.143 Å, with angles of 90.00, 92.40 and 90.00 degrees. The distinct sites, in fractional coordinates, are Tb at (0.231, 0.055, 0.446), Pm at (0.000, 0.472, 0.250), Sm at (0.039, 0.325, 0.945), Sm at (0.108, 0.117, 0.098), Sm at (0.223, 0.287, 0.295) and Mg at (0.000, 0.075, 0.750).

For the formation energy, the calculation gives 118 meV/atom. The density of states at the Fermi level is 1.4223 states/eV/atom.

=====

ErTh2Sb after structural relaxation. Source: Alexandria, functional PBE.

The space group is P4/mmm (No. 123) and the conventional cell measures 4.745, 4.745 and 5.095 Å, with angles of 90.00, 90.00 and 90.00 degrees. The distinct sites, in fractional coordinates, are Er at (0.000, 0.000, 0.000), Th at (0.000, 0.500, 0.500) and Sb at (0.500, 0.500, 0.000).

The value obtained for the energy relative to the elements, uncorrected is -0.43 eV per atom. The distance to the lowest polymorph of the same formula is 0 meV per atom. The density of states at the Fermi level is 1.0147 states/eV/atom.

=====

GdTm after structural relaxation. Source: Alexandria, functional PBE.

The space group is Pm-3m (No. 221) and the conventional cell measures 3.976, 3.976 and 3.976 Å, with angles of 90.00, 90.00 and 90.00 degrees. The distinct sites, in fractional coordinates, are Gd at (0.000, 0.000, 0.000) and Tm at (0.500, 0.500, 0.500).

For the formation energy, the calculation gives 99 meV/atom. The distance to the lowest polymorph of the same formula is 64 meV per atom. The density of states at the Fermi level is 2.0010 states/eV/atom.

=====

LaHoTmCd after structural relaxation. Source: Alexandria, functional PBE.

The space group is F-43m (No. 216) and the conventional cell measures 7.806, 7.806 and 7.806 Å, with angles of 90.00, 90.00 and 90.00 degrees. The distinct sites, in fractional coordinates, are La at (0.000, 0.000, 0.000), Ho at (0.000, 0.000, 0.500), Tm at (0.250, 0.250, 0.250) and Cd at (0.250, 0.250, 0.750).

For the formation energy, the calculation gives -44 meV/atom. The distance to the lowest polymorph of the same formula is 89 meV per atom. The density of states at the Fermi level is 1.2774 states/eV/atom.

=====

SrSc2SiN4 after structural relaxation. Source: Alexandria, functional PBE.

The space group is Cmcm (No. 63) and the conventional cell measures 3.186, 11.335 and 11.108 Å, with angles of 90.00, 90.00 and 90.00 degrees. The distinct sites, in fractional coordinates, are Sr at (0.000, 0.094, 0.250), Sc at (0.000, 0.369, 0.037), Si at (0.000, 0.177, 0.750), N at (0.000, 0.000, 0.000), N at (0.000, 0.257, 0.619) and N at (0.000, 0.406, 0.250).

The value obtained for the energy relative to the elements, uncorrected is -1.45 eV per atom.

=====

TlHg2Pd2 after structural relaxation. Source: Alexandria, functional PBE.

The space group is P4/mbm (No. 127) and the conventional cell measures 8.265, 8.265 and 3.063 Å, with angles of 90.00, 90.00 and 90.00 degrees. The distinct sites, in fractional coordinates, are Tl at (0.000, 0.000, 0.000), Hg at (0.162, 0.338, 0.000) and Pd at (0.131, 0.631, 0.500).

For the formation energy, the calculation gives -45 meV/atom. The distance to the lowest polymorph of the same formula is 64 meV per atom. The density of states at the Fermi level is 0.2321 states/eV/atom.

=====

Th2Al3Cu12Pd after structural relaxation. Source: Alexandria, functional PBE.

The space group is R-3m (No. 166, hexagonal axes) and the conventional cell measures 5.3279, 5.3279 and 35.8103 Å, with angles of 90.00, 90.00 and 120.00 degrees. The distinct sites, in fractional coordinates, are Th at (0.0000, 0.0000, 0.1416), Al at (0.0000, 0.5000, 0.0000), Cu at (0.0023, 0.5011, 0.1067), Cu at (0.0210, 0.5105, 0.6123) and Pd at (0.0000, 0.0000, 0.5000).

For the formation energy, the calculation gives 53 meV/atom. The density of states at the Fermi level is 0.4437 states/eV/atom.

=====

Y5TmTl3 after structural relaxation. Source: Alexandria, functional PBE.

The space group is P6_3/mcm (No. 193) and the conventional cell measures 9.3663, 9.3663 and 6.7375 Å, with angles of 90.00, 90.00 and 120.00 degrees. The distinct sites, in fractional coordinates, are Y at (0.0000, 0.3300, 0.2500), Y at (0.3333, 0.6667, 0.0000), Tm at (0.0000, 0.0000, 0.0000) and Tl at (0.0000, 0.3358, 0.7500).

For the formation energy, the calculation gives -289 meV/atom. The density of states at the Fermi level is 1.1446 states/eV/atom.

=====

CsSc3Zn after structural relaxation. Source: Alexandria, functional PBE.

The space group is Pm-3m (No. 221) and the conventional cell measures 5.356, 5.356 and 5.356 Å, with angles of 90.00, 90.00 and 90.00 degrees. The distinct sites, in fractional coordinates, are Cs at (0.000, 0.000, 0.000), Sc at (0.000, 0.500, 0.500) and Zn at (0.500, 0.500, 0.500).

For the formation energy, the calculation gives 519 meV/atom. The distance to the lowest polymorph of the same formula is 0 meV per atom. The density of states at the Fermi level is 1.6432 states/eV/atom.

=====

Sr2TlHgPt after structural relaxation. Source: Alexandria, functional PBE.

The space group is P4/mmm (No. 123) and the conventional cell measures 5.887, 5.887 and 5.235 Å, with angles of 90.00, 90.00 and 90.00 degrees. The distinct sites, in fractional coordinates, are Sr at (0.000, 0.500, 0.000), Tl at (0.000, 0.000, 0.500), Hg at (0.500, 0.500, 0.500) and Pt at (0.000, 0.000, 0.000).

For the formation energy, the calculation gives -461 meV/atom. The distance to the lowest polymorph of the same formula is 0 meV per atom. The density of states at the Fermi level is 0.6909 states/eV/atom.

=====

KPuMnBr6 after structural relaxation. Source: Alexandria, functional PBE.

The space group is P-31c (No. 163) and the conventional cell measures 7.2538, 7.2538 and 14.5290 Å, with angles of 90.00, 90.00 and 120.00 degrees. The distinct sites, in fractional coordinates, are K at (0.0000, 0.0000, 0.0000), Pu at (0.3333, 0.6667, 0.2500), Mn at (0.3333, 0.6667, 0.7500) and Br at (0.0185, 0.3766, 0.6412).

The value obtained for the energy relative to the elements, uncorrected is -1.33 eV per atom. The density of states at the Fermi level is 1.2879 states/eV/atom.

=====

CuOs2Pt after structural relaxation. Source: Alexandria, functional PBE.

The space group is Pmmm (No. 47) and the conventional cell measures 2.736, 3.975 and 5.235 Å, with angles of 90.00, 90.00 and 90.00 degrees. The distinct sites, in fractional coordinates, are Cu at (0.000, 0.000, 0.000), Os at (0.500, 0.500, 0.238) and Pt at (0.000, 0.000, 0.500).

For the formation energy, the calculation gives 354 meV/atom. The distance to the lowest polymorph of the same formula is 266 meV per atom. The density of states at the Fermi level is 1.0066 states/eV/atom.

=====

Pu2Zn4CuAu3 after structural relaxation. Source: Alexandria, functional PBE.

The space group is P-4m2 (No. 115) and the conventional cell measures 4.109, 4.109 and 11.694 Å, with angles of 90.00, 90.00 and 90.00 degrees. The distinct sites, in fractional coordinates, are Pu at (0.000, 0.500, 0.244), Zn at (0.000, 0.000, 0.500), Zn at (0.000, 0.500, 0.869), Zn at (0.500, 0.500, 0.500), Cu at (0.500, 0.500, 0.000), Au at (0.000, 0.000, 0.000) and Au at (0.000, 0.500, 0.647).

For the formation energy, the calculation gives -247 meV/atom. The density of states at the Fermi level is 2.4721 states/eV/atom.

=====

SnGeAs2 after structural relaxation. Source: Alexandria, functional PBE.

The space group is Pnma (No. 62) and the conventional cell measures 9.476, 5.833 and 14.387 Å, with angles of 90.00, 90.00 and 90.00 degrees. The distinct sites, in fractional coordinates, are Sn at (0.032, 0.250, 0.121), Sn at (0.120, 0.750, 0.357), Ge at (0.046, 0.750, 0.547), Ge at (0.211, 0.750, 0.054), As at (0.049, 0.250, 0.925), As at (0.169, 0.509, 0.668) and As at (0.202, 0.250, 0.391).

For the formation energy, the calculation gives 116 meV/atom. The distance to the lowest polymorph of the same formula is 112 meV per atom. The density of states at the Fermi level is 0.2045 states/eV/atom.

=====

Sc2InCo after structural relaxation. Source: Alexandria, functional PBE.

The space group is Amm2 (No. 38) and the conventional cell measures 4.263, 3.348 and 11.062 Å, with angles of 90.00, 90.00 and 90.00 degrees. The distinct sites, in fractional coordinates, are Sc at (0.000, 0.000, 0.000), Sc at (0.500, 0.000, 0.332), In at (0.000, 0.000, 0.719) and Co at (0.500, 0.000, 0.560).

For the formation energy, the calculation gives -212 meV/atom. The density of states at the Fermi level is 0.9214 states/eV/atom.

=====

Sr3P14 after structural relaxation. Source: Alexandria, functional PBE.

The space group is P2_1/c (No. 14) and the conventional cell measures 6.379, 12.862 and 11.828 Å, with angles of 90.00, 122.57 and 90.00 degrees. The distinct sites, in fractional coordinates, are Sr at (0.000, 0.000, 0.000), Sr at (0.197, 0.159, 0.390), P at (0.024, 0.149, 0.647), P at (0.243, 0.226, 0.139), P at (0.250, 0.004, 0.683), P at (0.280, 0.082, 0.860), P at (0.380, 0.709, 0.729), P at (0.387, 0.676, 0.549) and P at (0.427, 0.553, 0.819).

For the formation energy, the calculation gives -468 meV/atom. The density of states at the Fermi level is 0.0000 states/eV/atom.

=====

NaRhSCl2 after structural relaxation. Source: Alexandria, functional PBE.

The space group is P4/mmm (No. 123) and the conventional cell measures 4.574, 4.574 and 6.811 Å, with angles of 90.00, 90.00 and 90.00 degrees. The distinct sites, in fractional coordinates, are Na at (0.000, 0.000, 0.000), Rh at (0.000, 0.000, 0.500), S at (0.500, 0.500, 0.000) and Cl at (0.000, 0.500, 0.500).

The value obtained for the energy relative to the elements, uncorrected is 0.00 eV per atom. The distance to the lowest polymorph of the same formula is 607 meV per atom. The density of states at the Fermi level is 1.1113 states/eV/atom.